[1]
CsTiSe2 PBE relaxed; formation energy (no corrections) = -1.126 eV/atom; SG = Pnma (62)
1.0
7.756 0.000 0.000
0.000 5.162 0.000
0.000 0.000 12.115
Se Ti Cs
8 4 4
Cartesian
6.423 1.290 9.311
4.509 3.871 11.240
5.211 3.871 3.254
0.631 3.871 6.932
3.247 1.290 0.875
1.333 3.871 2.803
2.545 1.290 8.860
7.125 1.290 5.183
7.383 3.871 4.544
4.251 1.290 10.602
0.373 1.290 7.570
3.505 3.871 1.513
4.670 3.871 7.486
0.792 3.871 10.685
6.964 1.290 1.429
3.086 1.290 4.628


[2]
CsTiSe2 PBE relaxed; formation energy (no corrections) = -1.105 eV/atom; SG = I-42d (122)
1.0
7.665 0.000 0.000
0.000 7.665 0.000
3.833 3.833 4.982
Se Cs Ti
4 2 2
Cartesian
9.581 8.572 3.736
4.740 1.916 1.245
2.925 5.749 1.245
5.749 6.758 3.736
7.665 3.833 2.491
0.000 0.000 0.000
3.833 3.833 0.000
3.833 7.665 2.491


| no. | VASP energy (eV per atom) |
| --- | --- |
| 1 | -5.055 |
| 2 | -5.035 |